{"formula": "HfVSi2", "functional": "PBE-GGA", "state": "relaxed", "cell": [[2.919, 0.000, 0.000], [0.029, 3.578, 0.000], [1.178, 0.033, 5.902]], "species": ["Hf", "V", "Si", "Si"], "fractional_positions": [[0.000, 0.000, 0.000], [0.000, 0.000, 0.500], [0.480, 0.499, 0.710], [0.520, 0.501, 0.290]], "dos_at_fermi_per_ev_fu": 2.6, "de_polymorph_ev_per_atom": 0.000, "magnetic_moment_mub_per_cell": 0.00}